Entry from Alexandria via LeMat-Bulk: a relaxed structure of GeOsI2 (PBE-GGA).

Cell: 6.629 6.629 11.903 Å, 90.00 90.00 90.00°
Space group I-42d (No. 122)
Unique sites:
Ge 0.000 0.000 0.000 (multiplicity 4)
Os 0.000 0.000 0.500 (multiplicity 4)
I 0.193 0.250 0.625 (multiplicity 8)

Calculated values
As for the formation energy from raw total energies: 1.114 eV/atom. For the spin magnetization, the calculation gives 0.00 μB per formula unit. For the calculated volume, the calculation gives 523.1 Å³ per cell. The calculation puts the offset from the most stable computed form at 0.000 eV/atom. As for the electronic total energy: -3.62 eV per atom.